Record 1
## Ce2NpH12Rh3 (GGA-PBE)

Data for a relaxed Ce2NpH12Rh3 crystal.

Cell lengths 6.6216, 6.6216, 14.1398 Å; angles 90.00, 90.00, 120.00 degrees
Space group R-3m (No. 166, hexagonal axes)
One atom of each set of equivalent atoms:
Ce1 0.0000 0.0000 0.0989 (multiplicity 6)
Np1 0.0000 0.0000 0.5000 (multiplicity 3)
H1 0.0472 0.5236 0.8802 (multiplicity 18)
H2 0.0609 0.5304 0.3139 (multiplicity 18)
Rh1 0.0000 0.5000 0.0000 (multiplicity 9)

Computed properties:
For the density of states at the Fermi level, the calculation gives 15.83 states/eV/f.u. The value obtained for the total energy is -5.10 eV/atom. As for the total magnetization: 0.39 μB per atom.

Record 2
## Ce2H3O (GGA-PBE)

Data for a relaxed Ce2H3O crystal.

Cell lengths 5.481, 5.481, 5.481 Å; angles 90.00, 90.00, 90.00 degrees
Space group Pn-3m (No. 224, origin choice 2)
One atom of each set of equivalent atoms:
Ce1 0.000 0.000 0.000 (multiplicity 4)
H1 0.250 0.250 0.750 (multiplicity 6)
O1 0.250 0.250 0.250 (multiplicity 2)

Computed properties:
For the density of states at the Fermi level, the calculation gives 9.75 states/eV/f.u. The value obtained for the total energy is -5.79 eV/atom. As for the total magnetization: 0.34 μB per atom.

Record 3
## CeH3O3 (GGA-PBE)

Data for a relaxed CeH3O3 crystal.

Cell lengths 6.5707, 6.5707, 3.7550 Å; angles 90.00, 90.00, 120.00 degrees
Space group P6_3/m (No. 176)
One atom of each set of equivalent atoms:
Ce1 0.3333 0.6667 0.2500 (multiplicity 2)
H1 0.1350 0.2775 0.7500 (multiplicity 6)
O1 0.0829 0.3928 0.7500 (multiplicity 6)

Computed properties:
For the density of states at the Fermi level, the calculation gives 6.34 states/eV/f.u. The value obtained for the total energy is -6.27 eV/atom. As for the total magnetization: 0.14 μB per atom.

Record 4
## Ce3HO3 (GGA-PBE)

Data for a relaxed Ce3HO3 crystal.

Cell lengths 4.832, 4.832, 4.832 Å; angles 90.00, 90.00, 90.00 degrees
Space group Pm-3m (No. 221)
One atom of each set of equivalent atoms:
Ce1 0.000 0.000 0.500 (multiplicity 3)
H1 0.000 0.000 0.000 (multiplicity 1)
O1 0.000 0.500 0.500 (multiplicity 3)

Computed properties:
For the density of states at the Fermi level, the calculation gives 10.44 states/eV/f.u. The value obtained for the total energy is -7.26 eV/atom. As for the total magnetization: 0.51 μB per atom.

Record 5
## CeH5O4 (GGA-PBE)

Data for a relaxed CeH5O4 crystal.

Cell lengths 5.544, 5.635, 5.600 Å; angles 90.00, 90.00, 90.00 degrees
Space group Pmmn (No. 59, origin choice 2)
One atom of each set of equivalent atoms:
Ce1 0.250 0.250 0.157 (multiplicity 2)
H1 0.114 0.084 0.660 (multiplicity 8)
H2 0.250 0.750 0.126 (multiplicity 2)
O1 0.031 0.750 0.122 (multiplicity 4)
O2 0.250 0.012 0.564 (multiplicity 4)

Computed properties:
For the density of states at the Fermi level, the calculation gives 6.99 states/eV/f.u. The value obtained for the total energy is -5.66 eV/atom. As for the total magnetization: 0.10 μB per atom.

Record 6
## Rb2CeH2O4 (GGA-PBE)

Data for a relaxed Rb2CeH2O4 crystal.

Cell lengths 13.244, 3.508, 6.612 Å; angles 90.00, 108.86, 90.00 degrees
Space group C2/m (No. 12)
One atom of each set of equivalent atoms:
Rb1 0.142 0.000 0.080 (multiplicity 4)
Ce1 0.000 0.000 0.500 (multiplicity 2)
H1 0.228 0.000 0.577 (multiplicity 4)
O1 0.014 0.500 0.298 (multiplicity 4)
O2 0.190 0.000 0.681 (multiplicity 4)

Computed properties:
For the density of states at the Fermi level, the calculation gives 0.00 states/eV/f.u. The value obtained for the total energy is -5.74 eV/atom. As for the total magnetization: 0.00 μB per atom.

- Among the records above, which one has the highest total magnetization?
  Ce3HO3

- Look up the total magnetization of the first one.
  0.39 μB per atom